Here is MgRu3 after structural relaxation from the Alexandria database. Energies are from PBE-GGA.

The calculation puts the volume at 14.6 Å³/atom. Its space-group type is Fm-3m. Its energy is -7.102 eV per atom.

```
4
Lattice="0.0000 3.0794 3.0794 3.0794 0.0000 3.0794 3.0794 3.0794 0.0000" Properties=species:S:1:pos:R:3 pbc="T T T"
Mg 0.0000 0.0000 0.0000
Ru 1.5397 1.5397 1.5397
Ru 3.0794 3.0794 3.0794
Ru 4.6191 4.6191 4.6191
```

***

Here is MgRu after structural relaxation from the Alexandria database. Energies are from PBE-GGA.

The calculation puts the volume at 17.5 Å³/atom. Its space-group type is Fm-3m. Its energy is -4.614 eV per atom.

```
2
Lattice="0.0000 2.5968 2.5968 2.5968 0.0000 2.5968 2.5968 2.5968 0.0000" Properties=species:S:1:pos:R:3 pbc="T T T"
Mg 0.0000 0.0000 0.0000
Ru 2.5968 2.5968 2.5968
```

***

Here is Mg4Ru after structural relaxation from the Alexandria database. Energies are from PBE-GGA.

The calculation puts the volume at 23.5 Å³/atom. Its space-group type is Im-3m. The relative energy among the computed polymorphs is 0.147 eV per atom. Its energy is -2.986 eV per atom.

```
5
Lattice="-3.0873 3.0873 3.0873 3.0873 -3.0873 3.0873 3.0873 3.0873 -3.0873" Properties=species:S:1:pos:R:3 pbc="T T T"
Mg 1.5437 1.5437 -1.5437
Mg 1.5437 -1.5437 1.5437
Mg -1.5437 1.5437 1.5437
Mg 1.5437 1.5437 1.5437
Ru 0.0000 0.0000 0.0000
```

***

Here is Mg3Ru after structural relaxation from the Alexandria database. Energies are from PBE-GGA.

The calculation puts the volume at 17.8 Å³/atom. Its space-group type is Pm-3n. Its energy is -3.422 eV per atom.

```
8
Lattice="5.2219 0.0000 0.0000 0.0000 5.2219 0.0000 0.0000 0.0000 5.2219" Properties=species:S:1:pos:R:3 pbc="T T T"
Mg 0.0000 1.3055 2.6109
Mg 0.0000 3.9164 2.6109
Mg 1.3055 2.6109 0.0000
Mg 2.6109 0.0000 1.3055
Mg 2.6109 0.0000 3.9164
Mg 3.9164 2.6109 0.0000
Ru 0.0000 0.0000 0.0000
Ru 2.6109 2.6109 2.6109
```

***

Here is Mg5Ru3 after structural relaxation from the Alexandria database. Energies are from PBE-GGA.

The calculation puts the volume at 16.9 Å³/atom. Its space-group type is Fmmm. The relative energy among the computed polymorphs is 0.060 eV per atom. Its energy is -4.313 eV per atom.

```
16
Lattice="0.0000 7.3514 7.3613 2.5013 0.0000 7.3613 2.5013 7.3514 0.0000" Properties=species:S:1:pos:R:3 pbc="T T T"
Mg 2.5013 5.8993 2.5897
Mg 2.5013 4.7641 5.9091
Mg 3.7513 7.3514 7.3613
Mg 2.5013 8.8035 2.5897
Mg 2.5013 4.7641 8.8135
Mg 2.5013 9.9387 5.9091
Mg 2.5013 5.8993 12.1329
Mg 1.2512 7.3514 7.3613
Mg 2.5013 9.9387 8.8135
Mg 2.5013 8.8035 12.1329
Ru 2.5013 2.4864 7.3613
Ru 1.2506 3.6757 3.6806
Ru 2.5013 7.3514 4.8757
Ru 2.5013 7.3514 9.8468
Ru 3.7519 11.0271 11.0419
Ru 2.5013 12.2164 7.3613
```

***

Here is Mg3Ru after structural relaxation from the Alexandria database. Energies are from PBE-GGA.

The calculation puts the volume at 17.8 Å³/atom. Its space-group type is Cmcm. Its energy is -3.416 eV per atom.

```
8
Lattice="3.0188 -4.9647 0.0000 3.0188 4.9647 0.0000 0.0000 0.0000 4.7584" Properties=species:S:1:pos:R:3 pbc="T T T"
Mg 3.0188 4.0255 3.5688
Mg 1.5829 1.5554 3.5688
Mg 1.5829 -1.5554 1.1896
Mg 4.4547 1.5554 3.5688
Mg 4.4547 -1.5554 1.1896
Mg 3.0188 -4.0255 1.1896
Ru 3.0188 0.8664 1.1896
Ru 3.0188 -0.8664 3.5688
```

***

Here is MgRu after structural relaxation from the Alexandria database. Energies are from PBE-GGA.

The calculation puts the volume at 17.7 Å³/atom. Its space-group type is P4_2/mnm. Its energy is -4.723 eV per atom.

```
8
Lattice="5.2266 0.0000 0.0000 0.0000 5.2266 0.0000 0.0000 0.0000 5.1746" Properties=species:S:1:pos:R:3 pbc="T T T"
Mg 0.9838 0.9838 0.0000
Mg 1.6295 3.5971 2.5873
Mg 3.5971 1.6295 2.5873
Mg 4.2428 4.2428 0.0000
Ru 0.9045 0.9045 2.5873
Ru 1.7088 3.5178 0.0000
Ru 3.5178 1.7088 0.0000
Ru 4.3221 4.3221 2.5873
```

***

Here is MgRu after structural relaxation from the Alexandria database. Energies are from PBE-GGA.

The calculation puts the volume at 21.4 Å³/atom. Its space-group type is P6_3/mmc. Its energy is -4.128 eV per atom.

```
4
Lattice="4.4238 0.0000 0.0000 -2.2119 3.8311 0.0000 0.0000 0.0000 5.0566" Properties=species:S:1:pos:R:3 pbc="T T T"
Mg 0.0000 2.5541 1.2641
Mg 2.2119 1.2770 3.7924
Ru 0.0000 2.5541 3.7924
Ru 2.2119 1.2770 1.2641
```

***

Here is Mg3Ru after structural relaxation from the Alexandria database. Energies are from PBE-GGA.

The calculation puts the volume at 17.7 Å³/atom. Its space-group type is Immm. Its energy is -3.517 eV per atom.

```
4
Lattice="-1.7509 2.2363 4.5180 1.7509 -2.2363 4.5180 1.7509 2.2363 -4.5180" Properties=species:S:1:pos:R:3 pbc="T T T"
Mg 0.0000 0.0000 0.0000
Mg 1.7509 0.0000 2.4299
Mg 0.0000 2.2363 2.0881
Ru 0.0000 0.0000 4.5180
```

***

Here is Mg3Ru after structural relaxation from the Alexandria database. Energies are from PBE-GGA.

The calculation puts the volume at 17.9 Å³/atom. Its space-group type is Pmm2. Its energy is -3.428 eV per atom.

```
4
Lattice="2.9631 0.0000 0.0000 0.0000 4.6876 0.0000 0.0000 0.0000 5.1690" Properties=species:S:1:pos:R:3 pbc="T T T"
Mg 0.0000 0.0000 0.0000
Mg 0.0000 2.3438 1.7452
Mg 1.4815 0.0000 2.7788
Ru 1.4815 2.3438 4.3101
```

***

Here is MgRu3 after structural relaxation from the Alexandria database. Energies are from PBE-GGA.

The calculation puts the volume at 14.6 Å³/atom. Its space-group type is P1. Its energy is -7.261 eV per atom.

```
4
Lattice="2.7604 0.0000 0.0000 -0.0033 4.7417 0.0000 -1.3789 -2.2649 4.4625" Properties=species:S:1:pos:R:3 pbc="T T T"
Mg 0.0000 0.0000 0.0000
Ru 0.0041 3.1347 2.1255
Ru 1.3810 2.2782 0.0802
Ru 1.3814 0.6884 2.4192
```

***

Here is Mg3Ru after structural relaxation from the Alexandria database. Energies are from PBE-GGA.

The calculation puts the volume at 18.8 Å³/atom. Its space-group type is P6_3cm. Its energy is -3.528 eV per atom.

```
24
Lattice="7.9294 0.0000 0.0000 -3.9647 6.8670 0.0000 0.0000 0.0000 8.2767" Properties=species:S:1:pos:R:3 pbc="T T T"
Mg 0.0000 0.0000 0.8108
Mg 0.0000 0.0000 4.9492
Mg -1.1310 1.9590 2.8048
Mg -1.4751 2.5549 0.0000
Mg -2.4896 4.3122 4.1384
Mg -2.8337 4.9081 6.9432
Mg 2.2620 0.0000 2.8048
Mg 1.1310 1.9590 6.9432
Mg 0.0000 4.5780 1.8379
Mg 0.0000 4.5780 5.9763
Mg 2.9501 0.0000 0.0000
Mg 1.4751 2.5549 4.1384
Mg 4.9793 0.0000 4.1384
Mg 2.4896 4.3122 0.0000
Mg 3.9647 2.2890 1.8379
Mg 3.9647 2.2890 5.9763
Mg 5.6674 0.0000 6.9432
Mg 2.8337 4.9081 2.8048
Ru -1.2997 2.2512 5.5451
Ru -2.6650 4.6158 1.4068
Ru 2.5995 0.0000 5.5451
Ru 1.2997 2.2512 1.4068
Ru 5.3299 0.0000 1.4068
Ru 2.6650 4.6158 5.5451
```

***

Here is MgRu after structural relaxation from the Alexandria database. Energies are from PBE-GGA.

The calculation puts the volume at 16.8 Å³/atom. Its space-group type is P4/nmm. Its energy is -5.462 eV per atom.

```
4
Lattice="2.9114 0.0000 0.0000 0.0000 2.9114 0.0000 0.0000 0.0000 7.9188" Properties=species:S:1:pos:R:3 pbc="T T T"
Mg 0.7278 0.7278 1.3001
Mg 2.1835 2.1835 6.6187
Ru 0.7278 0.7278 4.7436
Ru 2.1835 2.1835 3.1752
```

***

Here is MgRu3 after structural relaxation from the Alexandria database. Energies are from PBE-GGA.

The calculation puts the volume at 14.5 Å³/atom. Its space-group type is I4/mmm. Its energy is -7.108 eV per atom.

```
8
Lattice="-1.9167 1.9167 7.9069 1.9167 -1.9167 7.9069 1.9167 1.9167 -7.9069" Properties=species:S:1:pos:R:3 pbc="T T T"
Mg 0.0000 0.0000 1.9592
Mg 0.0000 0.0000 13.8546
Ru 1.9167 0.0000 0.0000
Ru 1.9167 0.0000 3.9534
Ru 0.0000 0.0000 5.9250
Ru 0.0000 1.9167 0.0000
Ru 0.0000 0.0000 9.8888
Ru 0.0000 1.9167 3.9534
```

***

Here is MgRu2S after structural relaxation from the Alexandria database. Energies are from PBE-GGA.

The calculation puts the volume at 13.7 Å³/atom. Its space-group type is Fm-3m. The relative energy among the computed polymorphs is 0.182 eV per atom. Its energy is -5.849 eV per atom.

```
4
Lattice="0.0000 3.0160 3.0160 3.0160 0.0000 3.0160 3.0160 3.0160 0.0000" Properties=species:S:1:pos:R:3 pbc="T T T"
Mg 0.0000 0.0000 0.0000
Ru 1.5080 1.5080 1.5080
Ru 4.5240 4.5240 4.5240
S 3.0160 3.0160 3.0160
```

***

Here is MgRuS3 after structural relaxation from the Alexandria database. Energies are from PBE-GGA.

The calculation puts the volume at 20.2 Å³/atom. Its space-group type is Pm-3m. The relative energy among the computed polymorphs is 0.000 eV per atom. Its energy is -4.546 eV per atom.

```
5
Lattice="4.6567 0.0000 0.0000 0.0000 4.6567 0.0000 0.0000 0.0000 4.6567" Properties=species:S:1:pos:R:3 pbc="T T T"
Mg 0.0000 0.0000 0.0000
Ru 2.3284 2.3284 2.3284
S 0.0000 2.3284 2.3284
S 2.3284 0.0000 2.3284
S 2.3284 2.3284 0.0000
```

***

Here is Mg3RuS after structural relaxation from the Alexandria database. Energies are from PBE-GGA.

The calculation puts the volume at 20.5 Å³/atom. Its space-group type is Pm-3m. The relative energy among the computed polymorphs is 0.000 eV per atom. Its energy is -3.386 eV per atom.

```
5
Lattice="4.6768 0.0000 0.0000 0.0000 4.6768 0.0000 0.0000 0.0000 4.6768" Properties=species:S:1:pos:R:3 pbc="T T T"
Mg 0.0000 0.0000 2.3384
Mg 0.0000 2.3384 0.0000
Mg 2.3384 0.0000 0.0000
Ru 2.3384 2.3384 2.3384
S 0.0000 0.0000 0.0000
```

***

Here is MgRuS2 after structural relaxation from the Alexandria database. Energies are from PBE-GGA.

The calculation puts the volume at 18.1 Å³/atom. Its space-group type is R-3m. Its energy is -4.870 eV per atom.

```
4
Lattice="1.6450 0.9498 7.7101 -1.6450 0.9498 7.7101 0.0000 -1.8995 7.7101" Properties=species:S:1:pos:R:3 pbc="T T T"
Mg 0.0000 0.0000 0.0000
Ru 0.0000 0.0000 11.5652
S 0.0000 0.0000 9.3432
S 0.0000 0.0000 13.7871
```

***

Here is Mg2RuS after structural relaxation from the Alexandria database. Energies are from PBE-GGA.

The calculation puts the volume at 17.1 Å³/atom. Its space-group type is I-42d. Its energy is -4.109 eV per atom.

```
8
Lattice="-3.5755 3.5755 2.6762 3.5755 -3.5755 2.6762 3.5755 3.5755 -2.6762" Properties=species:S:1:pos:R:3 pbc="T T T"
Mg 1.7878 1.5582 -0.6691
Mg 2.0173 -1.7878 3.3453
Mg 1.7878 2.0173 2.0072
Mg 1.5582 5.3633 0.6691
Ru 3.5755 0.0000 1.3381
Ru 0.0000 0.0000 2.6762
S 0.0000 0.0000 0.0000
S 0.0000 3.5755 1.3381
```

***

Here is MgRuS2 after structural relaxation from the Alexandria database. Energies are from PBE-GGA.

The calculation puts the volume at 20.3 Å³/atom. Its space-group type is R-3m. Its energy is -5.105 eV per atom.

```
4
Lattice="1.7945 1.0361 7.2787 -1.7945 1.0361 7.2787 0.0000 -2.0721 7.2787" Properties=species:S:1:pos:R:3 pbc="T T T"
Mg 0.0000 0.0000 0.0000
Ru 0.0000 0.0000 10.9181
S 0.0000 0.0000 2.4476
S 0.0000 0.0000 19.3885
```